1.
AlFe2Br: relaxed, PBE.

a b c (Å): 3.083 4.410 4.410
angles (deg): 90.00 90.00 90.00
Each line ends with the local moment (μB).
Element x y z (fractional)
Fe: 0.000 0.000 0.000  2.42
Fe: 0.000 0.500 0.500  2.42
Br: 0.500 0.000 0.500  0.09
Al: 0.500 0.500 0.000  -0.07

space group: No. 123
N(E_F): 4.034 states/eV/f.u.
crystal system: tetragonal
total magnetic moment: 4.662 Bohr magnetons per cell
E_tot: -5.04 eV/atom
formation energy from raw total energies: 548 meV per atom
density: 6054 kg/m3


2.
ScGe2W2: relaxed, PBE.

a b c (Å): 7.188 7.188 3.231
angles (deg): 90.00 90.00 90.00
Element x y z (fractional)
Ge: 0.354 0.854 0.000
Ge: 0.854 0.646 0.000
Ge: 0.146 0.354 0.000
Ge: 0.646 0.146 0.000
W: 0.145 0.645 0.500
W: 0.355 0.145 0.500
W: 0.645 0.855 0.500
W: 0.855 0.355 0.500
Sc: 0.500 0.500 0.000
Sc: 0.000 0.000 0.000

space group: No. 127
N(E_F): 5.044 states/eV/f.u.
energy relative to the elements: -0.2 eV/f.u.
crystal system: tetragonal
total magnetic moment: 0.000 Bohr magnetons per cell
E_tot: -8.33 eV/atom
density: 11102 kg/m3


3.
ScCuP2: relaxed, PBE.

a b c (Å): 3.598 3.598 9.771
angles (deg): 100.65 100.65 89.77
Element x y z (fractional)
Sc: 0.123 0.123 0.231
Sc: 0.892 0.892 0.769
Cu: 0.756 0.256 0.500
Cu: 0.256 0.756 0.500
P: 0.341 0.341 0.669
P: 0.952 0.507 0.000
P: 0.672 0.672 0.331
P: 0.507 0.952 0.000

space group: No. 42
N(E_F): 0.654 states/eV/f.u.
energy relative to the elements: -3.1 eV/f.u.
crystal system: orthorhombic
total magnetic moment: 0.000 Bohr magnetons per cell
E_tot: -6.09 eV/atom
density: 4636 kg/m3


4.
Pm3SnCl3: relaxed, PBE.

a b c (Å): 7.193 7.193 11.096
angles (deg): 71.09 71.09 60.00
Element x y z (fractional)
Pm: 0.940 0.264 0.180
Pm: 0.060 0.736 0.820
Pm: 0.736 0.385 0.820
Pm: 0.264 0.615 0.180
Pm: 0.385 0.060 0.820
Pm: 0.615 0.940 0.180
Cl: 0.233 0.888 0.335
Cl: 0.543 0.233 0.335
Cl: 0.112 0.457 0.665
Cl: 0.457 0.767 0.665
Cl: 0.888 0.543 0.335
Cl: 0.767 0.112 0.665
Sn: 0.667 0.667 0.000
Sn: 0.333 0.333 0.000

space group: No. 148
N(E_F): 2.696 states/eV/f.u.
crystal system: trigonal
total magnetic moment: 0.400 Bohr magnetons per cell
E_tot: -4.86 eV/atom
formation energy from raw total energies: -1461 meV per atom
density: 4755 kg/m3


Question: density of number 2 (ScGe2W2)?
Answer: 11102 kg/m3


Question: The highest density belongs to which entry?
Answer: ScGe2W2